Eu2In4Rh | PBE-GGA | relaxed

Results
Its calculated formation energy is -0.26 eV per atom. As for the crystal system: tetragonal.

a b c (Å): 5.0692 5.0692 9.0721
angles (deg): 73.78 73.78 90.00
Closest atoms and distances in Å follow each position.
Element x y z (fractional)
Eu  0.6459  0.6459  0.7082  9 In 3.22-3.59
Eu  0.3541  0.3541  0.2918  9 In 3.22-3.59
Rh  0.0000  0.0000  0.0000  6 In 2.53-2.69
In  0.8388  0.8388  0.3224  1 Rh 2.69
In  0.1612  0.1612  0.6776  1 Rh 2.69
In  0.0000  0.5000  0.0000  2 Rh 2.53
In  0.5000  0.0000  0.0000  2 Rh 2.53



Eu3InRh | PBE-GGA | relaxed

Results
Its calculated formation energy is -0.27 eV per atom. As for the crystal system: cubic.

a b c (Å): 5.5516 5.5516 5.5516
angles (deg): 90.00 90.00 90.00
Closest atoms and distances in Å follow each position.
Element x y z (fractional)
Eu  0.0000  0.5000  0.0000  2 Rh 2.78
Eu  0.0000  0.0000  0.5000  2 Rh 2.78
Eu  0.5000  0.0000  0.0000  2 Rh 2.78
Rh  0.0000  0.0000  0.0000  6 Eu 2.78
In  0.5000  0.5000  0.5000  12 Eu 3.93



EuIn2Rh | PBE-GGA | relaxed

Results
The relative energy among the computed polymorphs is 0.1619 eV/atom. Its calculated formation energy is -0.39 eV per atom. As for the crystal system: trigonal.

a b c (Å): 4.5772 4.5772 6.1323
angles (deg): 68.09 68.09 60.00
Closest atoms and distances in Å follow each position.
Element x y z (fractional)
Eu  0.5000  0.5000  0.5000  8 In 3.30-3.56
Rh  0.0000  0.0000  0.0000  6 In 2.76
In  0.2857  0.2857  0.1428  3 Rh 2.76, 3 In 3.08
In  0.7143  0.7143  0.8572  3 Rh 2.76, 3 In 3.08